# PBE ZnFePd14, optimized geometry
# **Total energy**: -167.61 eV for the cell shown
# **Energy relative to the elements**: -85 meV per atom
data_ZnFePd14
_cell_length_a 9.0505
_cell_length_b 5.6154
_cell_length_c 9.5394
_cell_angle_alpha 90.00
_cell_angle_beta 90.00
_cell_angle_gamma 90.00
_symmetry_space_group_name_H-M 'A m m 2'
_symmetry_Int_Tables_number 38
_symmetry_space_group_name_Hall 'A 2 -2'
loop_
_atom_site_label
_atom_site_fract_x
_atom_site_fract_y
_atom_site_fract_z
Zn1 0.0000 0.0000 0.0000
Fe1 0.0000 0.0000 0.4954
Pd1 0.0000 0.2493 0.7545
Pd2 0.2381 0.2488 0.5745
Pd3 0.2471 0.0000 0.3274
Pd4 0.2495 0.0000 0.8272
Pd5 0.5000 0.0000 0.1548
Pd6 0.5000 0.0000 0.6550
Pd7 0.5000 0.2499 0.4061